Li2HfBe2 | Alexandria | PBE | relaxed; space group = No. 139; formation energy from the elements = 205 meV/atom; total magnetic moment = 0.000 μB per atom; mass density = 4.926 g/cm3; electronic total energy = -4.04 eV per atom
1.0
3.492 0.000 0.000
0.000 3.492 0.000
0.000 0.000 11.630
Li Hf Be
4 2 4
Direct
0.000 0.500 0.250 Li
0.000 0.500 0.750 Li
0.500 0.000 0.250 Li
0.500 0.000 0.750 Li
0.000 0.000 0.000 Hf
0.500 0.500 0.500 Hf
0.000 0.000 0.409 Be
0.000 0.000 0.591 Be
0.500 0.500 0.091 Be
0.500 0.500 0.909 Be